Below is a relaxed structure of La2ReAs, with properties calculated at the PBE-GGA level.

Results
Calculated total energy: -7.05 eV per atom
Calculated formation energy: -313 meV/atom
Space-group type: No. 44

abc: 6.5457 6.5457 6.5457
angles: 148.04 137.50 54.15
Sites, in units of the cell vectors:
La (0.0000, 0.0000, 0.0000)
La (0.7269, 0.2269, 0.5000)
Re (0.2582, 0.7582, 0.5000)
As (0.4132, 0.4132, 0.0000)